DFT (GGA-PBEsol) results for an optimized crystal structure of BSeCl2.

Unit cell a=3.0130 b=3.0130 c=9.9085 alpha=81.25 beta=81.25 gamma=60.00
Element x y z (fractional)
1 Se 0.0000 0.0000 0.0000
2 Cl 0.1234 0.1234 0.6299
3 Cl 0.8766 0.8766 0.3701
4 B 0.5000 0.5000 0.5000

Summary:
* ΔE_f (raw): 0.512 eV/atom

DFT (GGA-PBEsol) results for an optimized crystal structure of B2SeCl.

Unit cell a=5.2944 b=5.2944 c=5.2944 alpha=98.14 beta=115.42 gamma=115.42
Element x y z (fractional)
1 Cl 0.0000 0.5000 0.5000
2 Cl 0.5000 0.2500 0.7500
3 B 0.9768 0.1018 0.6250
4 B 0.5232 0.8750 0.8982
5 B 0.0232 0.6482 0.1250
6 B 0.4768 0.3750 0.3518
7 Se 0.0000 0.0000 0.0000
8 Se 0.5000 0.7500 0.2500

Summary:
* ΔE_f (raw): 1.204 eV/atom

DFT (GGA-PBEsol) results for an optimized crystal structure of TiBSeCl2.

Unit cell a=4.7808 b=5.2192 c=5.2192 alpha=90.00 beta=90.00 gamma=90.00
Element x y z (fractional)
1 Ti 0.5000 0.0000 0.0000
2 Cl 0.0000 0.5000 0.0000
3 Cl 0.0000 0.0000 0.5000
4 Se 0.0000 0.0000 0.0000
5 B 0.5000 0.5000 0.5000

Summary:
* ΔE_f (raw): 1.152 eV/atom

DFT (GGA-PBEsol) results for an optimized crystal structure of ZnB2SeCl.

Unit cell a=4.1190 b=4.1190 c=5.2879 alpha=90.00 beta=90.00 gamma=90.00
Element x y z (fractional)
1 Cl 0.5000 0.5000 0.5000
2 Zn 0.0000 0.0000 0.5000
3 Se 0.0000 0.0000 0.0000
4 B 0.0000 0.5000 0.0000
5 B 0.5000 0.0000 0.0000

Summary:
* ΔE_f (raw): 1.421 eV/atom